An optimized crystal structure of Ca2GaFeO5, computed with GGA+U.

Total moment = 3.00 μB/f.u.
Uncorrected energy = -227.64 eV per cell

a b c (Å): 3.1471 13.7683 9.9981
angles (deg): 90.00 90.00 90.00
Space group Cmc2_1 (No. 36)
Inequivalent atoms, fractional coordinates:
Ca  0.0000  0.1221  0.0000 x4
Ca  0.0000  0.1303  0.5477 x4
Ga  0.0000  0.4942  0.7603 x4
Fe  0.0000  0.2272  0.2877 x4
O  0.0000  0.0671  0.3169 x4
O  0.0000  0.2821  0.9176 x4
O  0.0000  0.2827  0.6589 x4
O  0.0000  0.3774  0.3186 x4
O  0.0000  0.4970  0.0740 x4